(1)
This record from the Alexandria database describes Na3Zr3GaS8 after structural relaxation. The functional is GGA-PBE.

Computed properties:
total magnetic moment = 0.000 μB per formula unit
mass density = 3.4 g/cm³
uncorrected formation energy = -1.330 eV/atom

Cell: 8.015 8.015 8.015 Å, 55.39 55.39 55.39°
Element x y z (fractional)
Na (0.000, 0.500, 0.500)
Na (0.500, 0.000, 0.500)
Na (0.500, 0.500, 0.000)
Zr (0.000, 0.000, 0.500)
Zr (0.000, 0.500, 0.000)
Zr (0.500, 0.000, 0.000)
Ga (0.500, 0.500, 0.500)
S (0.241, 0.241, 0.241)
S (0.242, 0.734, 0.734)
S (0.266, 0.266, 0.758)
S (0.266, 0.758, 0.266)
S (0.734, 0.242, 0.734)
S (0.734, 0.734, 0.242)
S (0.758, 0.266, 0.266)
S (0.759, 0.759, 0.759)



(2)
This record from the Alexandria database describes BaScO3 after structural relaxation. The functional is GGA-PBE.

Computed properties:
total magnetic moment = 1.000 μB per formula unit
mass density = 5.1 g/cm³
uncorrected formation energy = -2.788 eV/atom

Cell: 4.218 4.218 4.218 Å, 90.00 90.00 90.00°
Element x y z (fractional)
Ba (0.000, 0.000, 0.000)
Sc (0.500, 0.500, 0.500)
O (0.000, 0.500, 0.500)
O (0.500, 0.000, 0.500)
O (0.500, 0.500, 0.000)



(3)
This record from the Alexandria database describes Dy2MnAl after structural relaxation. The functional is GGA-PBE.

Computed properties:
formation energy from the elements = -103 meV/atom
E above lowest polymorph = 0.00 eV per formula unit
total magnetic moment = 2.837 μB per formula unit
mass density = 7.4 g/cm³

Cell: 3.572 3.572 7.162 Å, 90.00 90.00 90.00°
Element x y z (fractional)
Dy (0.000, 0.000, 0.241)
Dy (0.000, 0.000, 0.759)
Mn (0.500, 0.500, 0.000)
Al (0.500, 0.500, 0.500)



(4)
This record from the Alexandria database describes Y2Mg12Hg7 after structural relaxation. The functional is GGA-PBE.

Computed properties:
formation energy from the elements = -258 meV/atom
total magnetic moment = 0.000 μB per formula unit
mass density = 6.5 g/cm³

Cell: 12.201 12.201 3.699 Å, 90.00 90.00 120.00°
Element x y z (fractional)
Y (0.333, 0.667, 0.249)
Y (0.667, 0.333, 0.751)
Mg (0.063, 0.618, 0.750)
Mg (0.094, 0.840, 0.252)
Mg (0.160, 0.254, 0.252)
Mg (0.254, 0.094, 0.748)
Mg (0.382, 0.445, 0.750)
Mg (0.445, 0.063, 0.250)
Mg (0.555, 0.937, 0.750)
Mg (0.618, 0.555, 0.250)
Mg (0.746, 0.906, 0.252)
Mg (0.840, 0.746, 0.748)
Mg (0.906, 0.160, 0.748)
Mg (0.937, 0.382, 0.250)
Hg (0.000, 0.000, 0.000)
Hg (0.140, 0.430, 0.748)
Hg (0.289, 0.860, 0.748)
Hg (0.430, 0.289, 0.252)
Hg (0.570, 0.711, 0.748)
Hg (0.711, 0.140, 0.252)
Hg (0.860, 0.570, 0.252)



(5)
This record from the Alexandria database describes Sc3PdF after structural relaxation. The functional is GGA-PBE.

Computed properties:
E above lowest polymorph = 0.00 eV per formula unit
total magnetic moment = 0.000 μB per formula unit
mass density = 5.0 g/cm³
uncorrected formation energy = -1.103 eV/atom

Cell: 4.427 4.427 4.427 Å, 90.00 90.00 90.00°
Element x y z (fractional)
Sc (0.000, 0.000, 0.500)
Sc (0.000, 0.500, 0.000)
Sc (0.500, 0.000, 0.000)
Pd (0.500, 0.500, 0.500)
F (0.000, 0.000, 0.000)



(6)
This record from the Alexandria database describes HfNi2Ir2 after structural relaxation. The functional is GGA-PBE.

Computed properties:
formation energy from the elements = -202 meV/atom
E above lowest polymorph = 0.38 eV per formula unit
total magnetic moment = 0.000 μB per formula unit
mass density = 15.5 g/cm³

Cell: 7.112 7.112 2.879 Å, 90.00 90.00 90.00°
Element x y z (fractional)
Hf (0.000, 0.000, 0.000)
Hf (0.500, 0.500, 0.000)
Ni (0.167, 0.333, 0.500)
Ni (0.333, 0.833, 0.500)
Ni (0.667, 0.167, 0.500)
Ni (0.833, 0.667, 0.500)
Ir (0.131, 0.631, 0.000)
Ir (0.369, 0.131, 0.000)
Ir (0.631, 0.869, 0.000)
Ir (0.869, 0.369, 0.000)



(7)
This record from the Alexandria database describes BeIN2O after structural relaxation. The functional is GGA-PBE.

Computed properties:
total magnetic moment = 2.733 μB per formula unit
mass density = 4.4 g/cm³
uncorrected formation energy = 2.323 eV/atom

Cell: 3.827 3.827 4.678 Å, 90.00 90.00 90.00°
Element x y z (fractional)
Be (0.000, 0.000, 0.000)
I (0.500, 0.500, 0.000)
N (0.000, 0.500, 0.500)
N (0.500, 0.000, 0.500)
O (0.500, 0.500, 0.500)



(8)
This record from the Alexandria database describes Tm3Au5Se12 after structural relaxation. The functional is GGA-PBE.

Computed properties:
total magnetic moment = 0.000 μB per formula unit
mass density = 7.9 g/cm³
uncorrected formation energy = -0.547 eV/atom

Cell: 13.849 13.849 13.849 Å, 109.47 109.47 109.47°
Element x y z (fractional)
Tm (0.125, 0.250, 0.375)
Tm (0.125, 0.375, 0.750)
Tm (0.250, 0.375, 0.125)
Tm (0.250, 0.875, 0.625)
Tm (0.375, 0.125, 0.250)
Tm (0.375, 0.750, 0.125)
Tm (0.625, 0.250, 0.875)
Tm (0.625, 0.875, 0.750)
Tm (0.750, 0.125, 0.375)
Tm (0.750, 0.625, 0.875)
Tm (0.875, 0.625, 0.250)
Tm (0.875, 0.750, 0.625)
Au (0.000, 0.000, 0.000)
Au (0.000, 0.000, 0.500)
Au (0.000, 0.500, 0.000)
Au (0.000, 0.500, 0.500)
Au (0.125, 0.750, 0.875)
Au (0.125, 0.875, 0.250)
Au (0.250, 0.125, 0.875)
Au (0.250, 0.625, 0.375)
Au (0.375, 0.250, 0.625)
Au (0.375, 0.625, 0.750)
Au (0.500, 0.000, 0.000)
Au (0.500, 0.000, 0.500)
Au (0.500, 0.500, 0.000)
Au (0.500, 0.500, 0.500)
Au (0.625, 0.375, 0.250)
Au (0.625, 0.750, 0.375)
Au (0.750, 0.375, 0.625)
Au (0.750, 0.875, 0.125)
Au (0.875, 0.125, 0.750)
Au (0.875, 0.250, 0.125)
Se (0.047, 0.215, 0.136)
Se (0.047, 0.332, 0.911)
Se (0.079, 0.715, 0.668)
Se (0.079, 0.864, 0.411)
Se (0.089, 0.636, 0.421)
Se (0.089, 0.953, 0.668)
Se (0.136, 0.047, 0.215)
Se (0.136, 0.589, 0.921)
Se (0.168, 0.215, 0.579)
Se (0.168, 0.453, 0.589)
Se (0.215, 0.136, 0.047)
Se (0.215, 0.579, 0.168)
Se (0.285, 0.332, 0.921)
Se (0.285, 0.453, 0.364)
Se (0.332, 0.911, 0.047)
Se (0.332, 0.921, 0.285)
Se (0.364, 0.285, 0.453)
Se (0.364, 0.579, 0.911)
Se (0.411, 0.079, 0.864)
Se (0.411, 0.832, 0.547)
Se (0.421, 0.089, 0.636)
Se (0.421, 0.832, 0.785)
Se (0.453, 0.364, 0.285)
Se (0.453, 0.589, 0.168)
Se (0.547, 0.411, 0.832)
Se (0.547, 0.636, 0.715)
Se (0.579, 0.168, 0.215)
Se (0.579, 0.911, 0.364)
Se (0.589, 0.168, 0.453)
Se (0.589, 0.921, 0.136)
Se (0.636, 0.421, 0.089)
Se (0.636, 0.715, 0.547)
Se (0.668, 0.079, 0.715)
Se (0.668, 0.089, 0.953)
Se (0.715, 0.547, 0.636)
Se (0.715, 0.668, 0.079)
Se (0.785, 0.421, 0.832)
Se (0.785, 0.864, 0.953)
Se (0.832, 0.547, 0.411)
Se (0.832, 0.785, 0.421)
Se (0.864, 0.411, 0.079)
Se (0.864, 0.953, 0.785)
Se (0.911, 0.047, 0.332)
Se (0.911, 0.364, 0.579)
Se (0.921, 0.136, 0.589)
Se (0.921, 0.285, 0.332)
Se (0.953, 0.668, 0.089)
Se (0.953, 0.785, 0.864)